Arrangement a

4
Lattice="0.000 2.663 2.663 2.663 0.000 2.663 2.663 2.663 0.000" Properties=species:S:1:pos:R:3 comment="Tc2HN GGA-PBE relaxed" vol_a3_per_fu=37.78 pbc="T T T"
N 2.663 2.663 2.663
H 0.000 0.000 0.000
Tc 3.995 3.995 3.995
Tc 1.332 1.332 1.332

---

Arrangement b

8
Lattice="-1.078 -2.616 -3.259 -0.948 -3.124 2.822 -5.303 -1.373 -0.002" Properties=species:S:1:pos:R:3 comment="Tc2HN GGA-PBE relaxed" vol_a3_per_fu=42.36 pbc="T T T"
Tc -2.097 -2.318 -1.621
Tc -5.731 -5.992 -0.438
N -3.697 -3.430 -1.739
H -3.632 -3.684 1.301
H -1.013 -2.870 -0.218
Tc -2.074 -2.674 1.293
Tc -4.755 -3.243 -0.110
N 0.000 0.000 0.000

---

What should be chosen as the least stable of them? Choose arrangement a.

---

Arrangement a

4
Lattice="1.666 0.000 4.960 -0.833 1.442 4.960 -0.833 -1.442 4.960" Properties=species:S:1:pos:R:3 comment="TcHN2 GGA-PBE relaxed" vol_a3_per_fu=35.75 pbc="T T T"
H 0.000 0.000 0.000
N 0.000 0.000 13.610
N 0.000 0.000 1.269
Tc 0.000 0.000 7.440

---

Arrangement b

8
Lattice="-3.561 -0.115 2.353 1.393 -3.542 1.935 0.818 0.556 5.139" Properties=species:S:1:pos:R:3 comment="TcHN2 GGA-PBE relaxed" vol_a3_per_fu=38.97 pbc="T T T"
N 0.562 -2.091 2.833
N -1.779 -0.373 2.952
Tc -1.913 -0.694 4.818
N -0.173 -1.022 5.499
N -1.310 -2.715 7.569
Tc 0.000 0.000 0.000
H 0.564 -2.407 4.609
H -1.084 -1.828 2.144

---

Arrangement c

4
Lattice="0.000 2.480 2.480 2.480 0.000 2.480 2.480 2.480 0.000" Properties=species:S:1:pos:R:3 comment="TcHN2 GGA-PBE relaxed" vol_a3_per_fu=30.50 pbc="T T T"
N 3.720 3.720 3.720
H 0.000 0.000 0.000
N 1.240 1.240 1.240
Tc 2.480 2.480 2.480

---

Arrangement d

4
Lattice="1.618 0.000 5.116 -0.809 1.401 5.116 -0.809 -1.401 5.116" Properties=species:S:1:pos:R:3 comment="TcHN2 GGA-PBE relaxed" vol_a3_per_fu=34.80 pbc="T T T"
N 0.000 0.000 1.868
H 0.000 0.000 7.674
N 0.000 0.000 13.480
Tc 0.000 0.000 0.000

---

What should be chosen as the least stable of them? Choose arrangement d.

---

Arrangement a

5
Lattice="-0.416 -2.908 1.049 -1.038 -0.866 -2.812 2.913 -0.724 -0.852" Properties=species:S:1:pos:R:3 comment="TcH3N GGA-PBE relaxed" vol_a3_per_fu=30.36 pbc="T T T"
H -0.519 -0.433 -1.406
H 1.456 -0.362 -0.426
H -0.208 -1.454 0.525
Tc 0.729 -2.249 -1.307
N 0.000 0.000 0.000

---

Arrangement b

5
Lattice="-2.293 -1.223 -2.106 2.387 -1.701 -1.611 -0.482 -2.607 2.039" Properties=species:S:1:pos:R:3 comment="TcH3N GGA-PBE relaxed" vol_a3_per_fu=37.41 pbc="T T T"
H -1.146 -0.612 -1.053
Tc 0.000 0.000 0.000
N -0.194 -2.766 -0.839
H 1.194 -0.851 -0.805
H -0.241 -1.304 1.019

---

What should be chosen as the least stable of them? Choose arrangement b.

---

Arrangement a

5
Lattice="5.054 0.000 0.000 0.000 3.050 0.000 0.000 0.000 5.054" Properties=species:S:1:pos:R:3 comment="TiTe2HN GGA-PBE relaxed" vol_a3_per_fu=77.89 pbc="T T T"
Ti 2.527 1.525 2.527
Te 0.000 0.000 2.527
Te 2.527 0.000 0.000
N 0.000 0.000 0.000
H 0.000 1.525 0.000

---

Arrangement b

5
Lattice="5.558 0.000 0.000 0.000 5.558 0.000 0.000 0.000 3.702" Properties=species:S:1:pos:R:3 comment="TiTe2HN GGA-PBE relaxed" vol_a3_per_fu=114.34 pbc="T T T"
N 0.000 0.000 1.851
H 2.779 2.779 1.851
Te 0.000 2.779 0.000
Te 2.779 0.000 0.000
Ti 0.000 0.000 0.000

---

What should be chosen as the least stable of them? Choose arrangement b.

---

Arrangement a

5
Lattice="-0.159 -4.330 -1.086 4.441 -0.042 -0.484 0.619 -1.481 5.811" Properties=species:S:1:pos:R:3 comment="TlTe2HN GGA-PBE relaxed" vol_a3_per_fu=120.30 pbc="T T T"
Te -0.080 -2.165 -0.543
N 0.310 -0.740 2.905
H 0.000 0.000 0.000
Tl 2.450 -2.926 2.120
Te 2.220 -0.021 -0.242

---

Arrangement b

5
Lattice="6.099 0.000 0.000 0.000 6.099 0.000 0.000 0.000 4.292" Properties=species:S:1:pos:R:3 comment="TlTe2HN GGA-PBE relaxed" vol_a3_per_fu=159.66 pbc="T T T"
Tl 0.000 0.000 0.000
Te 0.000 3.050 0.000
N 0.000 0.000 2.146
Te 3.050 0.000 0.000
H 3.050 3.050 2.146

---

What should be chosen as the least stable of them? Choose arrangement b.

---

Arrangement a

5
Lattice="-1.136 -5.227 0.873 4.883 -1.379 -1.906 1.448 0.272 3.514" Properties=species:S:1:pos:R:3 comment="Te2HWN GGA-PBE relaxed" vol_a3_per_fu=111.93 pbc="T T T"
W 0.000 0.000 0.000
Te -0.568 -2.614 0.436
Te 2.441 -0.690 -0.953
N 0.724 0.136 1.757
H 2.598 -3.167 1.240

---

Arrangement b

5
Lattice="-1.124 5.017 -0.516 -4.512 -0.764 2.401 1.253 0.541 2.527" Properties=species:S:1:pos:R:3 comment="Te2HWN GGA-PBE relaxed" vol_a3_per_fu=76.69 pbc="T T T"
Te -0.562 2.509 -0.258
Te -2.256 -0.382 1.200
N 0.626 0.270 1.263
H 0.000 0.000 0.000
W -2.192 2.397 2.206

---

What should be chosen as the least stable of them? Choose arrangement b.